Th2AlIn | PBE | relaxed

Output
Offset from the most stable computed form = 0.09 eV/f.u.
DOS(E_F) = 3.2 states/eV per cell
Final energy = -5.5802 eV per atom
DFT formation energy = -0.25 eV/atom
Density = 9.29 g/cm³

Cell lengths 4.886, 4.886, 4.535 Å; angles 90.00, 90.00, 90.00 degrees
Atoms (fractional coordinates):
Th 0.000 0.500 0.000
Th 0.500 0.000 0.000
Al 0.000 0.000 0.500
In 0.500 0.500 0.500